Record 1
A relaxed MgBe2Tl crystal. Source: Alexandria, functional PBE.

abc: 3.393 3.393 5.847
angles: 90.00 90.00 90.00
Space group P4/mmm (No. 123)
Asymmetric unit:
Mg: 0.000 0.000 0.000 x1
Be: 0.500 0.500 0.199 x2
Tl: 0.000 0.000 0.500 x1

Summary:
Crystal system ... tetragonal
ΔE to the lowest computed polymorph ... 220 meV per atom

Record 2
A relaxed Mg3BeTl crystal. Source: Alexandria, functional PBE.

abc: 5.326 5.326 5.326
angles: 90.00 90.00 90.00
Space group Pm-3m (No. 221)
Asymmetric unit:
Mg: 0.000 0.000 0.500 x3
Be: 0.500 0.500 0.500 x1
Tl: 0.000 0.000 0.000 x1

Summary:
Crystal system ... cubic
ΔE to the lowest computed polymorph ... 612 meV per atom

Record 3
A relaxed MgBeTl2 crystal. Source: Alexandria, functional PBE.

abc: 3.178 3.178 9.228
angles: 90.00 90.00 90.00
Space group P4mm (No. 99)
Asymmetric unit:
Mg: 0.000 0.000 0.000 x1
Be: 0.500 0.500 0.837 x1
Tl: 0.000 0.000 0.623 x1
Tl: 0.500 0.500 0.282 x1

Summary:
Crystal system ... tetragonal
ΔE to the lowest computed polymorph ... 0 meV per atom

Record 4
A relaxed MgBe2Tl crystal. Source: Alexandria, functional PBE.

abc: 3.983 3.983 8.147
angles: 90.00 90.00 90.00
Space group I-4m2 (No. 119)
Asymmetric unit:
Mg: 0.000 0.000 0.000 x2
Be: 0.000 0.000 0.500 x2
Be: 0.000 0.500 0.250 x2
Tl: 0.000 0.500 0.750 x2

Summary:
Crystal system ... tetragonal
ΔE to the lowest computed polymorph ... 218 meV per atom

Record 5
A relaxed MgBeTl2 crystal. Source: Alexandria, functional PBE.

abc: 3.242 4.362 12.823
angles: 90.00 90.00 90.00
Space group Imm2 (No. 44)
Asymmetric unit:
Mg: 0.000 0.000 0.000 x2
Be: 0.000 0.500 0.317 x2
Tl: 0.000 0.000 0.625 x2
Tl: 0.000 0.500 0.827 x2

Summary:
Crystal system ... orthorhombic
ΔE to the lowest computed polymorph ... 19 meV per atom

Record 6
A relaxed MgBeTl2 crystal. Source: Alexandria, functional PBE.

abc: 3.555 4.044 6.418
angles: 90.00 103.71 90.00
Space group P2/m (No. 10)
Asymmetric unit:
Mg: 0.000 0.000 0.000 x1
Be: 0.000 0.000 0.500 x1
Tl: 0.379 0.500 0.729 x2

Summary:
Crystal system ... monoclinic
ΔE to the lowest computed polymorph ... 63 meV per atom

Record 7
A relaxed MgBe2Tl crystal. Source: Alexandria, functional PBE.

abc: 7.310 7.310 5.476
angles: 90.00 90.00 90.00
Space group I-42d (No. 122)
Asymmetric unit:
Mg: 0.000 0.000 0.000 x4
Be: 0.234 0.750 0.625 x8
Tl: 0.000 0.000 0.500 x4

Summary:
Crystal system ... tetragonal
ΔE to the lowest computed polymorph ... 449 meV per atom

Record 8
A relaxed MgBe2Tl crystal. Source: Alexandria, functional PBE.

abc: 3.1941 3.1941 24.0815
angles: 90.00 90.00 120.00
Space group R3m (No. 160, hexagonal axes)
Asymmetric unit:
Mg: 0.0000 0.0000 0.0000 x3
Be: 0.0000 0.0000 0.4674 x3
Be: 0.0000 0.0000 0.7459 x3
Tl: 0.0000 0.0000 0.2222 x3

Summary:
Crystal system ... trigonal
ΔE to the lowest computed polymorph ... 207 meV per atom

Number 1: magnetization 0.00 μB/atom. Number 2: magnetization 0.00 μB/atom. Number 3: magnetization 0.00 μB/atom. Number 4: magnetization 0.00 μB/atom. Number 5: magnetization 0.00 μB/atom. Number 6: magnetization 0.00 μB/atom. Number 7: magnetization 0.00 μB/atom. Number 8: magnetization 0.00 μB/atom.